Entry 1:
A plane-wave DFT calculation with PBE was carried out for a relaxed structure of Be2RhAu.

Excess energy over the best structure of this formula in the dataset, meV/atom: 172.1
E_form, eV per formula unit: -1.17

Cell: 2.936 2.936 5.616 Å, 90.00 90.00 90.00°
Space group P4mm (No. 99)
One atom of each set of equivalent atoms:
1 Be 0.000 0.000 0.000 [1 per cell]
2 Be 0.500 0.500 0.220 [1 per cell]
3 Rh 0.000 0.000 0.403 [1 per cell]
4 Au 0.500 0.500 0.769 [1 per cell]

Entry 2:
A plane-wave DFT calculation with PBE was carried out for a relaxed structure of Dy4Ge3Rh.

E_form, eV per formula unit: -6.83

Cell: 4.021 4.177 10.760 Å, 90.00 90.00 90.00°
Space group Pmm2 (No. 25)
One atom of each set of equivalent atoms:
1 Dy 0.000 0.000 0.000 [1 per cell]
2 Dy 0.000 0.500 0.488 [1 per cell]
3 Dy 0.500 0.000 0.712 [1 per cell]
4 Dy 0.500 0.500 0.217 [1 per cell]
5 Ge 0.000 0.500 0.768 [1 per cell]
6 Ge 0.500 0.000 0.434 [1 per cell]
7 Ge 0.500 0.500 0.933 [1 per cell]
8 Rh 0.000 0.000 0.272 [1 per cell]

Entry 3:
A plane-wave DFT calculation with PBE was carried out for a relaxed structure of Co3NiAs.

Excess energy over the best structure of this formula in the dataset, meV/atom: 0.0
E_form, eV per formula unit: 4.56

Cell: 4.272 4.272 4.272 Å, 90.00 90.00 90.00°
Space group Pm-3m (No. 221)
One atom of each set of equivalent atoms:
1 Co 0.000 0.000 0.500 [3 per cell]
2 Ni 0.500 0.500 0.500 [1 per cell]
3 As 0.000 0.000 0.000 [1 per cell]

Entry 4:
A plane-wave DFT calculation with PBE was carried out for a relaxed structure of FeCu6Pd12.

Excess energy over the best structure of this formula in the dataset, meV/atom: 68.3
E_form, eV per formula unit: -0.25

Cell: 9.1569 9.1569 11.4530 Å, 90.00 90.00 120.00°
Space group R-3 (No. 148, hexagonal axes)
One atom of each set of equivalent atoms:
1 Fe 0.0000 0.0000 0.0000 [3 per cell]
2 Cu 0.0293 0.4383 0.7028 [18 per cell]
3 Pd 0.0283 0.1860 0.8196 [18 per cell]
4 Pd 0.0603 0.8474 0.4102 [18 per cell]

Entry 5:
A plane-wave DFT calculation with PBE was carried out for a relaxed structure of LaEuCd2.

E_form, eV per formula unit: -1.39

Cell: 7.874 7.874 7.874 Å, 90.00 90.00 90.00°
Space group Fm-3m (No. 225)
One atom of each set of equivalent atoms:
1 La 0.000 0.000 0.000 [4 per cell]
2 Eu 0.000 0.000 0.500 [4 per cell]
3 Cd 0.250 0.250 0.250 [8 per cell]

Entry 6:
A plane-wave DFT calculation with PBE was carried out for a relaxed structure of KRbNa5.

Excess energy over the best structure of this formula in the dataset, meV/atom: 53.4
E_form, eV per formula unit: 0.51

Cell: 5.296 5.296 12.915 Å, 90.00 90.00 90.00°
Space group P4/mmm (No. 123)
One atom of each set of equivalent atoms:
1 K 0.000 0.000 0.000 [1 per cell]
2 Rb 0.500 0.500 0.500 [1 per cell]
3 Na 0.000 0.500 0.235 [4 per cell]
4 Na 0.500 0.500 0.000 [1 per cell]

Entry 7:
A plane-wave DFT calculation with PBE was carried out for a relaxed structure of LiTlSnSb.

Excess energy over the best structure of this formula in the dataset, meV/atom: 0.0
Formation energy from raw total energies, eV per atom: -0.06

Cell: 7.504 7.504 7.504 Å, 90.00 90.00 90.00°
Space group F-43m (No. 216)
One atom of each set of equivalent atoms:
1 Li 0.000 0.000 0.000 [4 per cell]
2 Tl 0.250 0.250 0.750 [4 per cell]
3 Sn 0.000 0.000 0.500 [4 per cell]
4 Sb 0.250 0.250 0.250 [4 per cell]

Entry 8:
A plane-wave DFT calculation with PBE was carried out for a relaxed structure of LiPmTh2N4.

Formation energy from raw total energies, eV per atom: -1.32

Cell: 3.633 11.773 11.851 Å, 90.00 90.00 90.00°
Space group Cmcm (No. 63)
One atom of each set of equivalent atoms:
1 Li 0.000 0.163 0.250 [4 per cell]
2 Pm 0.000 0.101 0.750 [4 per cell]
3 Th 0.000 0.368 0.560 [8 per cell]
4 N 0.000 0.000 0.000 [4 per cell]
5 N 0.000 0.261 0.115 [8 per cell]
6 N 0.000 0.458 0.750 [4 per cell]

Entry 9:
A plane-wave DFT calculation with PBE was carried out for a relaxed structure of TiPtAu2.

E_form, eV per formula unit: 0.03

Cell: 7.416 7.416 5.374 Å, 90.00 90.00 90.00°
Space group I-42d (No. 122)
One atom of each set of equivalent atoms:
1 Ti 0.000 0.000 0.000 [4 per cell]
2 Pt 0.000 0.000 0.500 [4 per cell]
3 Au 0.242 0.250 0.125 [8 per cell]

Entry 10:
A plane-wave DFT calculation with PBE was carried out for a relaxed structure of CsTe2Cl2.

Excess energy over the best structure of this formula in the dataset, meV/atom: 175.8
Formation energy from raw total energies, eV per atom: -0.49

Cell: 9.835 9.835 3.578 Å, 90.00 90.00 90.00°
Space group P4/mbm (No. 127)
One atom of each set of equivalent atoms:
1 Cs 0.000 0.000 0.000 [2 per cell]
2 Te 0.097 0.403 0.000 [4 per cell]
3 Cl 0.219 0.719 0.500 [4 per cell]

Entry 11:
A plane-wave DFT calculation with PBE was carried out for a relaxed structure of Ta5Zn3.

Excess energy over the best structure of this formula in the dataset, meV/atom: 61.3
E_form, eV per formula unit: 0.90

Cell: 7.6869 7.6869 5.2573 Å, 90.00 90.00 120.00°
Space group P6_3/mcm (No. 193)
One atom of each set of equivalent atoms:
1 Ta 0.0000 0.2330 0.2500 [6 per cell]
2 Ta 0.3333 0.6667 0.0000 [4 per cell]
3 Zn 0.0000 0.3989 0.7500 [6 per cell]

Entry 12:
A plane-wave DFT calculation with PBE was carried out for a relaxed structure of Ce2Dy2Al3.

E_form, eV per formula unit: -1.88

Cell: 4.316 23.347 3.263 Å, 90.00 90.00 90.00°
Space group Cmmm (No. 65)
One atom of each set of equivalent atoms:
1 Ce 0.000 0.212 0.000 [4 per cell]
2 Dy 0.000 0.071 0.000 [4 per cell]
3 Al 0.000 0.360 0.500 [4 per cell]
4 Al 0.000 0.500 0.500 [2 per cell]